PmFeSbO6 | GGA+U | optimized geometry

Lattice parameters (Å, degrees): 5.155 5.155 10.175 90.00 90.00 120.00
Sites, in units of the cell vectors:
Fe  0.333  0.667  0.250
Pm  0.000  0.000  0.000
O  0.012  0.376  0.142
O  0.624  0.636  0.142
Fe  0.667  0.333  0.750
O  0.376  0.012  0.642
O  0.988  0.624  0.858
O  0.376  0.364  0.858
O  0.364  0.376  0.358
Sb  0.667  0.333  0.250
O  0.636  0.624  0.642
O  0.624  0.988  0.358
O  0.988  0.364  0.642
O  0.364  0.988  0.142
O  0.636  0.012  0.858
O  0.012  0.636  0.358
Sb  0.333  0.667  0.750
Pm  0.000  0.000  0.500

Output
Electronic total energy   -6.769 eV per atom